(1)
Cu2ReAu | the Alexandria database | PBE-GGA | relaxed; space-group type = Amm2; volume = 57 Å³ per cell; electronic total energy = -5.617 eV per atom; energy above the lowest structure with this stoichiometry = 153 meV/atom
1.0
4.200 0.000 0.000
0.000 1.315 5.157
0.000 -1.315 5.157
Cu Re Au
2 1 1
Direct
0.000 0.000 0.000
0.500 0.131 0.131
0.000 0.732 0.732
0.500 0.385 0.385

(2)
ScMn2Be | the Alexandria database | PBE-GGA | relaxed; space-group type = P4/mmm; volume = 51 Å³ per cell; electronic total energy = -7.075 eV per atom
1.0
3.007 0.000 0.000
0.000 3.007 0.000
0.000 0.000 5.645
Sc Mn Be
1 2 1
Direct
0.000 0.000 0.000
0.500 0.500 0.323
0.500 0.500 0.677
0.000 0.000 0.500

(3)
NpH6Pt3 | the Alexandria database | PBE-GGA | relaxed; space-group type = P1; volume = 100 Å³ per cell; electronic total energy = -5.227 eV per atom
1.0
4.879 0.000 0.000
0.651 4.850 0.000
2.145 1.879 4.244
Np H Pt
1 6 3
Direct
0.000 0.000 0.000
0.004 0.463 0.489
0.128 0.521 0.928
0.464 0.964 0.540
0.531 0.149 0.927
0.584 0.587 0.205
0.921 0.919 0.589
0.257 0.704 0.511
0.343 0.355 0.160
0.697 0.247 0.512

(4)
LiThZn2Pt4 | the Alexandria database | PBE-GGA | relaxed; space-group type = R-3m; volume = 136 Å³ per cell; electronic total energy = -5.294 eV per atom
1.0
2.173 1.254 8.346
-2.173 1.254 8.346
0.000 -2.509 8.346
Li Th Zn Pt
1 1 2 4
Direct
0.000 0.000 0.000
0.500 0.500 0.500
0.264 0.264 0.264
0.736 0.736 0.736
0.101 0.101 0.101
0.370 0.370 0.370
0.630 0.630 0.630
0.899 0.899 0.899

(5)
Hf3InGa | the Alexandria database | PBE-GGA | relaxed; space-group type = P1; volume = 218 Å³ per cell; electronic total energy = -7.221 eV per atom; energy above the lowest structure with this stoichiometry = 0 meV/atom
1.0
5.836 0.000 0.000
0.443 5.833 0.000
2.066 1.958 6.393
Hf In Ga
6 2 2
Direct
0.000 0.000 0.000
0.027 0.486 0.006
0.520 0.224 0.157
0.588 0.793 0.899
0.674 0.647 0.342
0.866 0.098 0.433
0.179 0.616 0.327
0.286 0.896 0.600
0.390 0.306 0.708
0.812 0.390 0.723

(6)
Co2Re2Ru | the Alexandria database | PBE-GGA | relaxed; space-group type = P4/mbm; volume = 131 Å³ per cell; electronic total energy = -9.521 eV per atom; energy above the lowest structure with this stoichiometry = 0 meV/atom
1.0
6.893 0.000 0.000
0.000 6.893 0.000
0.000 0.000 2.749
Co Re Ru
4 4 2
Direct
0.121 0.379 0.000
0.379 0.879 0.000
0.621 0.121 0.000
0.879 0.621 0.000
0.176 0.676 0.500
0.324 0.176 0.500
0.676 0.824 0.500
0.824 0.324 0.500
0.000 0.000 0.000
0.500 0.500 0.000

(7)
ZrVSb2Br | the Alexandria database | PBE-GGA | relaxed; uncorrected formation energy = 0.406 eV per atom; space-group type = P4/mmm; volume = 132 Å³ per cell; electronic total energy = -5.111 eV per atom
1.0
5.307 0.000 0.000
0.000 5.307 0.000
0.000 0.000 4.672
Zr V Sb Br
1 1 2 1
Direct
0.000 0.000 0.000
0.500 0.500 0.500
0.000 0.500 0.500
0.500 0.000 0.500
0.500 0.500 0.000

(8)
ZnBi2Os2 | the Alexandria database | PBE-GGA | relaxed; space-group type = P4/mbm; volume = 209 Å³ per cell; electronic total energy = -5.243 eV per atom; energy above the lowest structure with this stoichiometry = 373 meV/atom
1.0
8.154 0.000 0.000
0.000 8.154 0.000
0.000 0.000 3.140
Zn Bi Os
2 4 4
Direct
0.000 0.000 0.000
0.500 0.500 0.000
0.155 0.345 0.000
0.345 0.845 0.000
0.655 0.155 0.000
0.845 0.655 0.000
0.137 0.637 0.500
0.363 0.137 0.500
0.637 0.863 0.500
0.863 0.363 0.500